(P)
The following is a PBE calculation of TlCoPb2 after structural relaxation, from Alexandria via LeMat-Bulk.

Cell lengths 7.603, 5.432, 3.524 Å; angles 90.62, 61.38, 122.98 degrees
Last column: magnetic moment on the atom in μB.
Atoms (fractional coordinates):
Tl: 0.000 0.500 0.500  0.00
Pb: 0.000 0.000 0.000  -0.02
Pb: 0.500 0.000 0.500  -0.02
Co: 0.500 0.500 0.000  1.71

The value obtained for the size of the total moment is 0.41 μB/atom. Its density of states at the Fermi level is 6.7 states/eV/f.u.

---

(Q)
The following is a PBE calculation of TlCoPb2 after structural relaxation, from Alexandria via LeMat-Bulk.

Cell lengths 7.671, 7.671, 4.409 Å; angles 73.30, 73.30, 24.56 degrees
Last column: magnetic moment on the atom in μB.
Atoms (fractional coordinates):
Pb: 0.079 0.079 0.921  -0.02
Pb: 0.255 0.255 0.245  -0.01
Co: 0.738 0.738 0.762  0.89
Tl: 0.428 0.428 0.572  -0.01

The value obtained for the size of the total moment is 0.20 μB/atom. Its density of states at the Fermi level is 3.0 states/eV/f.u.

---

Which structure loses on stability? (P) does.

---

(P)
The following is a PBE calculation of TlCoPb2 after structural relaxation, from Alexandria via LeMat-Bulk.

Cell lengths 7.317, 7.317, 7.317 Å; angles 154.54, 143.84, 44.74 degrees
Last column: magnetic moment on the atom in μB.
Atoms (fractional coordinates):
Co: 0.250 0.750 0.500  0.57
Tl: 0.750 0.250 0.500  -0.02
Pb: 0.424 0.424 0.000  -0.01
Pb: 0.076 0.076 0.000  -0.01

The value obtained for the size of the total moment is 0.12 μB/atom. Its density of states at the Fermi level is 3.0 states/eV/f.u.

---

(Q)
The following is a PBE calculation of TlCoPb2 after structural relaxation, from Alexandria via LeMat-Bulk.

Cell lengths 3.341, 3.344, 9.476 Å; angles 69.68, 90.00, 90.00 degrees
Last column: magnetic moment on the atom in μB.
Atoms (fractional coordinates):
Pb: 0.000 0.433 0.565  -0.01
Pb: 0.000 0.067 0.935  -0.01
Tl: 0.500 0.250 0.250  0.03
Co: 0.500 0.750 0.750  1.15

The value obtained for the size of the total moment is 0.30 μB/atom. Its density of states at the Fermi level is 2.4 states/eV/f.u.

---

(R)
The following is a PBE calculation of TlCoPb2 after structural relaxation, from Alexandria via LeMat-Bulk.

Cell lengths 4.781, 4.781, 4.424 Å; angles 90.00, 90.00, 90.00 degrees
Last column: magnetic moment on the atom in μB.
Atoms (fractional coordinates):
Pb: 0.000 0.000 0.000  0.00
Pb: 0.500 0.500 0.000  0.00
Co: 0.000 0.500 0.500  1.76
Tl: 0.500 0.000 0.500  0.01

The value obtained for the size of the total moment is 0.44 μB/atom. Its density of states at the Fermi level is 5.9 states/eV/f.u.

---

Which structure loses on stability? (R) does.

---

(P)
The following is a PBE calculation of Tm2CoPb after structural relaxation, from Alexandria via LeMat-Bulk.

Cell lengths 4.379, 6.729, 13.083 Å; angles 96.11, 90.00, 90.00 degrees
Atoms (fractional coordinates):
Pb: 0.750 0.749 0.601
Pb: 0.250 0.251 0.399
Pb: 0.250 0.249 0.101
Pb: 0.750 0.751 0.899
Co: 0.250 0.516 0.573
Co: 0.250 0.984 0.927
Co: 0.750 0.016 0.073
Co: 0.750 0.484 0.427
Tm: 0.250 0.744 0.416
Tm: 0.750 0.005 0.268
Tm: 0.250 0.756 0.084
Tm: 0.750 0.495 0.232
Tm: 0.750 0.256 0.584
Tm: 0.250 0.505 0.768
Tm: 0.250 0.995 0.732
Tm: 0.750 0.244 0.916

The value obtained for the size of the total moment is 0.00 μB/atom. Its density of states at the Fermi level is 3.5 states/eV/f.u.

---

(Q)
The following is a PBE calculation of Tm2CoPb after structural relaxation, from Alexandria via LeMat-Bulk.

Cell lengths 3.658, 3.658, 8.764 Å; angles 77.95, 77.95, 60.00 degrees
Atoms (fractional coordinates):
Co: 0.000 0.000 0.000
Tm: 0.272 0.272 0.185
Tm: 0.728 0.728 0.815
Pb: 0.500 0.500 0.500

The value obtained for the size of the total moment is 0.00 μB/atom. Its density of states at the Fermi level is 2.5 states/eV/f.u.

---

Which structure loses on stability? (P) does.

---

(P)
The following is a PBE calculation of Tm3CoPb2 after structural relaxation, from Alexandria via LeMat-Bulk.

Cell lengths 6.147, 8.542, 6.939 Å; angles 108.05, 116.29, 90.00 degrees
Atoms (fractional coordinates):
Pb: 0.477 0.990 0.713
Pb: 0.765 0.510 0.287
Pb: 0.523 0.010 0.287
Pb: 0.235 0.490 0.713
Tm: 0.052 0.129 0.307
Tm: 0.694 0.750 0.000
Tm: 0.255 0.629 0.307
Tm: 0.948 0.871 0.693
Tm: 0.306 0.250 0.000
Tm: 0.745 0.371 0.693
Co: 0.132 0.750 0.000
Co: 0.868 0.250 0.000

The value obtained for the size of the total moment is 0.00 μB/atom. Its density of states at the Fermi level is 2.1 states/eV/f.u.

---

(Q)
The following is a PBE calculation of Tm3CoPb2 after structural relaxation, from Alexandria via LeMat-Bulk.

Cell lengths 4.274, 11.569, 12.268 Å; angles 90.00, 90.00, 90.00 degrees
Atoms (fractional coordinates):
Tm: 0.250 0.716 0.248
Tm: 0.250 0.460 0.377
Tm: 0.750 0.633 0.943
Tm: 0.250 0.784 0.748
Tm: 0.750 0.540 0.623
Tm: 0.750 0.867 0.443
Tm: 0.750 0.216 0.252
Tm: 0.750 0.960 0.123
Tm: 0.250 0.367 0.057
Tm: 0.250 0.133 0.557
Tm: 0.750 0.284 0.752
Tm: 0.250 0.040 0.877
Pb: 0.250 0.010 0.315
Pb: 0.250 0.811 0.007
Pb: 0.250 0.490 0.815
Pb: 0.750 0.311 0.493
Pb: 0.250 0.689 0.507
Pb: 0.750 0.189 0.993
Pb: 0.750 0.990 0.685
Pb: 0.750 0.510 0.185
Co: 0.750 0.865 0.871
Co: 0.750 0.635 0.371
Co: 0.250 0.135 0.129
Co: 0.250 0.365 0.629

The value obtained for the size of the total moment is 0.00 μB/atom. Its density of states at the Fermi level is 3.8 states/eV/f.u.

---

Which structure loses on stability? (P) does.

---

(P)
The following is a PBE calculation of Tm4Co2Pb after structural relaxation, from Alexandria via LeMat-Bulk.

Cell lengths 5.004, 5.004, 14.538 Å; angles 90.00, 90.00, 120.05 degrees
Atoms (fractional coordinates):
Co: 0.166 0.834 0.439
Co: 0.834 0.166 0.939
Co: 0.166 0.834 0.061
Co: 0.834 0.166 0.561
Tm: 0.166 0.834 0.250
Tm: 0.500 0.500 0.000
Tm: 0.167 0.833 0.617
Tm: 0.167 0.833 0.883
Tm: 0.500 0.500 0.500
Tm: 0.833 0.167 0.383
Tm: 0.833 0.167 0.117
Tm: 0.834 0.166 0.750
Pb: 0.501 0.499 0.750
Pb: 0.499 0.501 0.250

The value obtained for the size of the total moment is 0.00 μB/atom. Its density of states at the Fermi level is 5.7 states/eV/f.u.

---

(Q)
The following is a PBE calculation of Tm4Co2Pb after structural relaxation, from Alexandria via LeMat-Bulk.

Cell lengths 6.771, 6.909, 8.272 Å; angles 108.51, 107.89, 104.20 degrees
Atoms (fractional coordinates):
Tm: 0.423 0.049 0.258
Tm: 0.719 0.077 0.653
Tm: 0.063 0.259 0.457
Tm: 0.451 0.720 0.864
Tm: 0.856 0.553 0.043
Tm: 0.316 0.174 0.847
Tm: 0.836 0.606 0.636
Tm: 0.415 0.541 0.242
Pb: 0.953 0.067 0.031
Pb: 0.172 0.785 0.469
Co: 0.683 0.271 0.164
Co: 0.502 0.350 0.659
Co: 0.770 0.857 0.337
Co: 0.093 0.441 0.841

The value obtained for the size of the total moment is 0.00 μB/atom. Its density of states at the Fermi level is 4.8 states/eV/f.u.

---

Which structure loses on stability? (P) does.